(1)
Material: MgTl2Pd7
Method: DFT, PBE
State: relaxed

Cell lengths 9.156, 9.156, 2.900 Å; angles 90.00, 90.00, 126.23 degrees
Positions (direct):
Mg (0.000, 0.000, 0.000)
Tl (0.323, 0.677, 0.500)
Tl (0.677, 0.323, 0.500)
Pd (0.131, 0.302, 0.500)
Pd (0.179, 0.821, 0.000)
Pd (0.302, 0.131, 0.500)
Pd (0.500, 0.500, 0.500)
Pd (0.698, 0.869, 0.500)
Pd (0.821, 0.179, 0.000)
Pd (0.869, 0.698, 0.500)

Output
Spin magnetization: 0.0 μB per cell
Calculated formation energy: -1 kJ per mole of atoms


(2)
Material: TbCo2
Method: DFT, PBE
State: relaxed

Cell lengths 5.081, 5.081, 5.081 Å; angles 60.00, 60.00, 60.00 degrees
Positions (direct):
Tb (0.125, 0.125, 0.125)
Tb (0.875, 0.875, 0.875)
Co (0.000, 0.500, 0.500)
Co (0.500, 0.000, 0.500)
Co (0.500, 0.500, 0.000)
Co (0.500, 0.500, 0.500)

Output
Spin magnetization: 3.8 μB per cell
Calculated formation energy: -17 kJ per mole of atoms


Total energy (eV per atom)
-4.27 -6.46